Compound: LaCrGa2
Source: Alexandria
Functional: PBE-GGA
Structure: optimized geometry

Results
- energy of formation from the pure elements (meV/atom) = 94
- crystal system = tetragonal

Geometry as CIF:
```
data_LaCrGa2
_cell_length_a 4.8028
_cell_length_b 4.8028
_cell_length_c 17.3592
_cell_angle_alpha 90.00
_cell_angle_beta 90.00
_cell_angle_gamma 90.00
_symmetry_space_group_name_H-M 'I -4 2 d'
_symmetry_Int_Tables_number 122
_symmetry_space_group_name_Hall 'I -4 2bw'
loop_
_atom_site_label
_atom_site_fract_x
_atom_site_fract_y
_atom_site_fract_z
La1 0.0000 0.0000 0.0000
Cr1 0.0000 0.0000 0.5000
Ga1 0.0795 0.2500 0.6250
```